[1]
Here is an optimized crystal structure of SmCdPd from the Alexandria database. Energies are from PBE.

Calculated values
energy of formation from the pure elements: -2.0 eV/f.u.
density of states at the Fermi level: 6.06 states/eV per cell
space group: P-62m

a = 7.6864 Å, b = 7.6864 Å, c = 4.0100 Å
α = 90.00°, β = 90.00°, γ = 120.00°
Fractional coordinates of all 9 atoms:
Pd  0.3333  0.6667  0.0000
Pd  0.0000  0.0000  0.5000
Pd  0.6667  0.3333  0.0000
Cd  0.2542  0.0000  0.0000
Cd  0.0000  0.2542  0.0000
Cd  0.7458  0.7458  0.0000
Sm  0.5938  0.0000  0.5000
Sm  0.0000  0.5938  0.5000
Sm  0.4062  0.4062  0.5000

---

[2]
Here is an optimized crystal structure of NdPaIrN4 from the Alexandria database. Energies are from PBE.

Calculated values
DFT total energy: -8.803 eV per atom
density of states at the Fermi level: 3.39 states/eV per cell
space group: I4mm

a = 3.9204 Å, b = 3.9204 Å, c = 6.6864 Å
α = 107.05°, β = 107.05°, γ = 90.00°
Fractional coordinates of all 7 atoms:
Nd  0.6481  0.6481  0.2963
N  0.4829  0.9829  0.9657
N  0.9829  0.4829  0.9657
N  0.1857  0.1857  0.3713
N  0.8322  0.8322  0.6645
Ir  0.0052  0.0052  0.0105
Pa  0.3630  0.3630  0.7260

---

[3]
Here is an optimized crystal structure of Ba2HoMg3Pb4 from the Alexandria database. Energies are from PBE.

Calculated values
energy of formation from the pure elements: -4.1 eV/f.u.
density of states at the Fermi level: 3.49 states/eV per cell
space group: P-4m2

a = 5.1468 Å, b = 5.1468 Å, c = 12.3068 Å
α = 90.00°, β = 90.00°, γ = 90.00°
Fractional coordinates of all 10 atoms:
Ba  0.5000  0.0000  0.2327
Ba  0.0000  0.5000  0.7673
Pb  0.0000  0.0000  0.0000
Pb  0.0000  0.5000  0.3609
Pb  0.5000  0.0000  0.6391
Pb  0.5000  0.5000  0.0000
Ho  0.5000  0.5000  0.5000
Mg  0.0000  0.0000  0.5000
Mg  0.5000  0.0000  0.8751
Mg  0.0000  0.5000  0.1249

---

[4]
Here is an optimized crystal structure of K2Hf3Te6 from the Alexandria database. Energies are from PBE.

Calculated values
DFT total energy: -5.537 eV per atom
density of states at the Fermi level: 5.48 states/eV per cell
space group: C2/m

a = 7.0395 Å, b = 7.0412 Å, c = 8.9629 Å
α = 82.43°, β = 74.72°, γ = 60.01°
Fractional coordinates of all 11 atoms:
K  0.8339  0.3322  0.5000
K  0.1661  0.6678  0.5000
Te  0.7298  0.0000  0.8011
Te  0.4007  0.6703  0.7990
Te  0.2702  0.0000  0.1989
Te  0.0710  0.3297  0.7990
Te  0.5993  0.3297  0.2010
Te  0.9290  0.6703  0.2010
Hf  0.6689  0.6622  0.0000
Hf  0.3311  0.3378  0.0000
Hf  0.0000  0.0000  0.0000

---

[5]
Here is an optimized crystal structure of Nd3HoTm8 from the Alexandria database. Energies are from PBE.

Calculated values
energy of formation from the pure elements: 7.7 eV/f.u.
density of states at the Fermi level: 17.39 states/eV per cell
space group: I-42m

a = 8.3392 Å, b = 8.3392 Å, c = 8.3392 Å
α = 95.22°, β = 117.03°, γ = 117.03°
Fractional coordinates of all 12 atoms:
Tm  0.4880  0.2325  0.2325
Tm  0.2517  0.3706  0.3706
Tm  0.0000  0.8811  0.6294
Tm  0.0000  0.6294  0.8811
Tm  0.0000  0.2555  0.7675
Tm  0.5120  0.7445  0.7445
Tm  0.7483  0.1189  0.1189
Tm  0.0000  0.7675  0.2555
Nd  0.5000  0.2500  0.7500
Nd  0.5000  0.7500  0.2500
Nd  0.0000  0.5000  0.5000
Ho  0.0000  0.0000  0.0000

---

[6]
Here is an optimized crystal structure of LuRuPb from the Alexandria database. Energies are from PBE.

Calculated values
energy of formation from the pure elements: -0.4 eV/f.u.
density of states at the Fermi level: 2.38 states/eV per cell
space group: F-43m

a = 4.6532 Å, b = 4.6532 Å, c = 4.6532 Å
α = 60.00°, β = 60.00°, γ = 60.00°
Fractional coordinates of all 3 atoms:
Lu  0.0000  0.0000  0.0000
Pb  0.5000  0.5000  0.5000
Ru  0.2500  0.2500  0.2500

---

[7]
Here is an optimized crystal structure of SrAlPbBr2 from the Alexandria database. Energies are from PBE.

Calculated values
density of states at the Fermi level: 4.58 states/eV per cell
space group: P4/mmm
energy above the most stable polymorph in this dataset: 0.000 eV/atom

a = 5.6912 Å, b = 6.9950 Å, c = 5.6912 Å
α = 90.00°, β = 90.00°, γ = 90.00°
Fractional coordinates of all 5 atoms:
Sr  0.0000  0.0000  0.0000
Br  0.0000  0.0000  0.5000
Br  0.5000  0.0000  0.0000
Al  0.5000  0.5000  0.5000
Pb  0.0000  0.5000  0.0000

---

[8]
Here is an optimized crystal structure of La2Pr2NdAg5 from the Alexandria database. Energies are from PBE.

Calculated values
energy of formation from the pure elements: -1.1 eV/f.u.
density of states at the Fermi level: 15.25 states/eV per cell
space group: P4/mbm

a = 4.4298 Å, b = 11.1385 Å, c = 11.1385 Å
α = 90.00°, β = 90.00°, γ = 90.00°
Fractional coordinates of all 20 atoms:
Nd  0.0000  0.5000  0.5000
Nd  0.0000  0.0000  0.0000
Pr  0.0000  0.3710  0.1290
Pr  0.0000  0.8710  0.3710
Pr  0.0000  0.1290  0.6290
Pr  0.0000  0.6290  0.8710
Ag  0.5000  0.3131  0.5621
Ag  0.5000  0.8131  0.9379
Ag  0.5000  0.0000  0.5000
Ag  0.5000  0.5000  0.0000
Ag  0.5000  0.0621  0.8131
Ag  0.5000  0.4379  0.3131
Ag  0.5000  0.1869  0.0621
Ag  0.5000  0.5621  0.6869
Ag  0.5000  0.9379  0.1869
Ag  0.5000  0.6869  0.4379
La  0.0000  0.8278  0.6722
La  0.0000  0.3278  0.8278
La  0.0000  0.1722  0.3278
La  0.0000  0.6722  0.1722